This record from Alexandria describes a relaxed structure of NaSmHg4. The functional is PBE.

Geometry as extended XYZ:
```
6
Lattice="5.271 -1.979 0.000 5.271 1.979 0.000 -2.923 0.000 7.252" Properties=species:S:1:pos:R:3 pbc="T T T"
Na 0.000 0.000 0.000
Sm -1.462 0.000 3.626
Hg 2.998 0.000 1.180
Hg 1.572 0.000 4.861
Hg 6.047 0.000 2.391
Hg 4.621 0.000 6.072
```

## Properties
**Energy relative to the lowest polymorph listed for this composition**: 0 meV/atom
**Formation energy**: -0.307 eV per atom
**Electronic total energy**: -1.515 eV per atom